4
Lattice="-0.920 -3.229 -1.602 -0.019 -3.133 2.006 -8.928 -0.714 2.248" Properties=species:S:1:pos:R:3 comment="CaSc2As, single point on PBEsol structure, DFT meta-GGA SCAN" space_group="No. 160" delta_e_f_mev_per_atom=-476 pbc="T T T"
Sc -8.709 -0.750 2.194
Sc -6.857 -5.395 1.855
As -5.136 -3.505 1.375
Ca -3.026 -1.678 0.800